Entry 1:
# CaPrH, relaxed, DFT PBE-GGA
# Magnetic moment ... 0.00 μB/f.u.
# Uncorrected energy ... -3.45 eV/atom
# N(E_F) ... 7.374 states/eV/cell
data_CaPrH
_chemical_formula_sum 'Ca2 Pr2 H2'
_cell_length_a 3.5037
_cell_length_b 3.5037
_cell_length_c 12.8519
_cell_angle_alpha 90.00
_cell_angle_beta 90.00
_cell_angle_gamma 90.00
_space_group_name_H-M_alt 'I 4 m m'
_space_group_IT_number 107
_space_group_name_Hall 'I 4 -2'
loop_
_atom_site_label
_atom_site_fract_x
_atom_site_fract_y
_atom_site_fract_z
Ca1 0.0000 0.0000 0.0000
Pr1 0.0000 0.0000 0.7184
H1 0.0000 0.0000 0.1901


Entry 2:
# TaGa, relaxed, DFT PBE-GGA
# Magnetic moment ... 0.00 μB/f.u.
# DFT formation energy ... -0.148 eV per atom
# N(E_F) ... 1.808 states/eV/cell
data_TaGa
_chemical_formula_sum 'Ta1 Ga1'
_cell_length_a 2.9520
_cell_length_b 2.9520
_cell_length_c 4.5629
_cell_angle_alpha 90.00
_cell_angle_beta 90.00
_cell_angle_gamma 120.00
_space_group_name_H-M_alt 'P -6 m 2'
_space_group_IT_number 187
_space_group_name_Hall 'P -6 2'
loop_
_atom_site_label
_atom_site_fract_x
_atom_site_fract_y
_atom_site_fract_z
Ta1 0.0000 0.0000 0.0000
Ga1 0.6667 0.3333 0.5000


Copy entry 2 word for word.
# TaGa, relaxed, DFT PBE-GGA
# Magnetic moment ... 0.00 μB/f.u.
# DFT formation energy ... -0.148 eV per atom
# N(E_F) ... 1.808 states/eV/cell
data_TaGa
_chemical_formula_sum 'Ta1 Ga1'
_cell_length_a 2.9520
_cell_length_b 2.9520
_cell_length_c 4.5629
_cell_angle_alpha 90.00
_cell_angle_beta 90.00
_cell_angle_gamma 120.00
_space_group_name_H-M_alt 'P -6 m 2'
_space_group_IT_number 187
_space_group_name_Hall 'P -6 2'
loop_
_atom_site_label
_atom_site_fract_x
_atom_site_fract_y
_atom_site_fract_z
Ta1 0.0000 0.0000 0.0000
Ga1 0.6667 0.3333 0.5000


> Which of these has the highest N(E_F)?

CaPrH